(1)
# LiHg6Pb2 (GGA-PBE, relaxed)
# E above lowest polymorph, meV/atom: 9.2
data_LiHg6Pb2
_chemical_formula_sum 'Li2 Hg12 Pb4'
_cell_length_a 15.337
_cell_length_b 8.856
_cell_length_c 3.449
_cell_angle_alpha 90.00
_cell_angle_beta 90.07
_cell_angle_gamma 90.00
_symmetry_space_group_name_H-M 'C 1 2/m 1'
_symmetry_Int_Tables_number 12
loop_
_symmetry_equiv_pos_as_xyz
'x,y,z'
'-x,-y,-z'
'-x,y,-z'
'x,-y,z'
'x+1/2,y+1/2,z'
'-x+1/2,-y+1/2,-z'
'-x+1/2,y+1/2,-z'
'x+1/2,-y+1/2,z'
loop_
_atom_site_label
_atom_site_type_symbol
_atom_site_fract_x
_atom_site_fract_y
_atom_site_fract_z
Li1 Li 0.000 0.000 0.000
Hg1 Hg 0.000 0.327 0.500
Hg2 Hg 0.163 0.163 0.498
Pb1 Pb 0.167 0.500 0.000

***

(2)
Material: Li4Hg2Pb
Method: DFT, GGA-PBE
State: relaxed

Structure (CIF):
```
data_Li4Hg2Pb
_chemical_formula_sum 'Li12 Hg6 Pb3'
_cell_length_a 4.7504
_cell_length_b 4.7504
_cell_length_c 22.5676
_cell_angle_alpha 90.00
_cell_angle_beta 90.00
_cell_angle_gamma 120.00
_symmetry_space_group_name_H-M 'R -3 m'
_symmetry_Int_Tables_number 166
_symmetry_space_group_name_Hall '-R 3 2"'
loop_
_atom_site_label
_atom_site_type_symbol
_atom_site_fract_x
_atom_site_fract_y
_atom_site_fract_z
Li1 Li 0.0000 0.0000 0.1137
Li2 Li 0.0000 0.0000 0.3703
Hg1 Hg 0.0000 0.0000 0.2501
Pb1 Pb 0.0000 0.0000 0.5000
```

***

(3)
Material: Li3HgPb5
Method: DFT, GGA-PBE
State: relaxed

Structure (CIF):
```
data_Li3HgPb5
_chemical_formula_sum 'Li12 Hg4 Pb20'
_cell_length_a 13.197
_cell_length_b 9.916
_cell_length_c 9.789
_cell_angle_alpha 90.00
_cell_angle_beta 128.57
_cell_angle_gamma 90.00
_symmetry_space_group_name_H-M 'C 1 2/m 1'
_symmetry_Int_Tables_number 12
loop_
_symmetry_equiv_pos_as_xyz
'x,y,z'
'-x,-y,-z'
'-x,y,-z'
'x,-y,z'
'x+1/2,y+1/2,z'
'-x+1/2,-y+1/2,-z'
'-x+1/2,y+1/2,-z'
'x+1/2,-y+1/2,z'
loop_
_atom_site_label
_atom_site_type_symbol
_atom_site_fract_x
_atom_site_fract_y
_atom_site_fract_z
Li1 Li 0.000 0.000 0.000
Li2 Li 0.000 0.000 0.500
Li3 Li 0.213 0.500 0.299
Li4 Li 0.230 0.500 0.720
Hg1 Hg 0.104 0.000 0.342
Pb1 Pb 0.000 0.325 0.000
Pb2 Pb 0.013 0.500 0.325
Pb3 Pb 0.154 0.241 0.675
Pb4 Pb 0.212 0.000 0.939
```

***

Number 1: energy of formation from the pure elements -0.031 eV per atom, DFT total energy -1.27 eV/atom, magnetic moment 0.0 μB/f.u.. Number 2: energy of formation from the pure elements -0.287 eV per atom, DFT total energy -2.00 eV/atom, magnetic moment 0.0 μB/f.u.. Number 3: energy of formation from the pure elements -0.019 eV per atom, DFT total energy -2.75 eV/atom, magnetic moment 0.0 μB/f.u..